VASP calculation (GGA-PBE) on a geometry-optimized NaDyAlSe3 structure.

Spin magnetization in μB/atom: 0.00
E_tot in eV/atom: -4.5208

CIF file:
```
data_NaDyAlSe3
_chemical_formula_sum 'Na4 Dy4 Al4 Se12'
_cell_length_a 3.998
_cell_length_b 14.008
_cell_length_c 10.896
_cell_angle_alpha 90.00
_cell_angle_beta 90.00
_cell_angle_gamma 90.00
_space_group_name_H-M_alt 'C m c m'
_space_group_IT_number 63
_space_group_name_Hall '-C 2c 2'
loop_
_atom_site_label
_atom_site_type_symbol
_atom_site_fract_x
_atom_site_fract_y
_atom_site_fract_z
Na1 Na 0.000 0.246 0.250
Dy1 Dy 0.000 0.000 0.000
Al1 Al 0.000 0.465 0.750
Se1 Se 0.000 0.071 0.750
Se2 Se 0.000 0.359 0.577
```

---

VASP calculation (GGA-PBE) on a geometry-optimized NiBOsPd structure.

Excess energy over the best structure of this formula in the dataset in meV/atom: 0
Spin magnetization in μB/atom: 0.01
E_tot in eV/atom: -6.7563

CIF file:
```
data_NiBOsPd
_chemical_formula_sum 'Ni4 B4 Os4 Pd4'
_cell_length_a 5.703
_cell_length_b 5.703
_cell_length_c 5.703
_cell_angle_alpha 90.00
_cell_angle_beta 90.00
_cell_angle_gamma 90.00
_space_group_name_H-M_alt 'F -4 3 m'
_space_group_IT_number 216
_space_group_name_Hall 'F -4 2 3'
loop_
_atom_site_label
_atom_site_type_symbol
_atom_site_fract_x
_atom_site_fract_y
_atom_site_fract_z
Ni1 Ni 0.000 0.000 0.000
B1 B 0.000 0.000 0.500
Os1 Os 0.250 0.250 0.250
Pd1 Pd 0.250 0.250 0.750
```

---

VASP calculation (GGA-PBE) on a geometry-optimized AgSb5Pd3 structure.

E_tot in eV/atom: -4.4076

CIF file:
```
data_AgSb5Pd3
_chemical_formula_sum 'Ag1 Sb5 Pd3'
_cell_length_a 5.5692
_cell_length_b 5.5692
_cell_length_c 7.9630
_cell_angle_alpha 90.00
_cell_angle_beta 90.00
_cell_angle_gamma 120.00
_space_group_name_H-M_alt 'P 6/m m m'
_space_group_IT_number 191
_space_group_name_Hall '-P 6 2'
loop_
_atom_site_label
_atom_site_type_symbol
_atom_site_fract_x
_atom_site_fract_y
_atom_site_fract_z
Ag1 Ag 0.0000 0.0000 0.0000
Sb1 Sb 0.0000 0.0000 0.5000
Sb2 Sb 0.3333 0.6667 0.2067
Pd1 Pd 0.0000 0.5000 0.5000
```

---

VASP calculation (GGA-PBE) on a geometry-optimized Er2Lu2Al structure.

Spin magnetization in μB/atom: 0.00
E_tot in eV/atom: -4.4134

CIF file:
```
data_Er2Lu2Al
_chemical_formula_sum 'Er4 Lu4 Al2'
_cell_length_a 3.534
_cell_length_b 7.913
_cell_length_c 10.204
_cell_angle_alpha 90.00
_cell_angle_beta 90.00
_cell_angle_gamma 90.00
_space_group_name_H-M_alt 'I m m m'
_space_group_IT_number 71
_space_group_name_Hall '-I 2 2'
loop_
_atom_site_label
_atom_site_type_symbol
_atom_site_fract_x
_atom_site_fract_y
_atom_site_fract_z
Er1 Er 0.000 0.000 0.249
Lu1 Lu 0.000 0.301 0.000
Al1 Al 0.000 0.500 0.500
```

---

VASP calculation (GGA-PBE) on a geometry-optimized U3Sn4Pt3 structure.

Spin magnetization in μB/atom: 0.47
E_tot in eV/atom: -7.2533

CIF file:
```
data_U3Sn4Pt3
_chemical_formula_sum 'U12 Sn16 Pt12'
_cell_length_a 9.716
_cell_length_b 9.716
_cell_length_c 9.716
_cell_angle_alpha 90.00
_cell_angle_beta 90.00
_cell_angle_gamma 90.00
_space_group_name_H-M_alt 'I -4 3 d'
_space_group_IT_number 220
_space_group_name_Hall 'I -4bd 2c 3'
loop_
_atom_site_label
_atom_site_type_symbol
_atom_site_fract_x
_atom_site_fract_y
_atom_site_fract_z
U1 U 0.000 0.250 0.375
Sn1 Sn 0.091 0.091 0.091
Pt1 Pt 0.000 0.250 0.875
```

---

VASP calculation (GGA-PBE) on a geometry-optimized YTlCoPt structure.

Excess energy over the best structure of this formula in the dataset in meV/atom: 179
Spin magnetization in μB/atom: 0.39
E_tot in eV/atom: -5.6102

CIF file:
```
data_YTlCoPt
_chemical_formula_sum 'Y4 Tl4 Co4 Pt4'
_cell_length_a 6.792
_cell_length_b 6.792
_cell_length_c 6.792
_cell_angle_alpha 90.00
_cell_angle_beta 90.00
_cell_angle_gamma 90.00
_space_group_name_H-M_alt 'F -4 3 m'
_space_group_IT_number 216
_space_group_name_Hall 'F -4 2 3'
loop_
_atom_site_label
_atom_site_type_symbol
_atom_site_fract_x
_atom_site_fract_y
_atom_site_fract_z
Y1 Y 0.000 0.000 0.000
Tl1 Tl 0.250 0.250 0.250
Co1 Co 0.000 0.000 0.500
Pt1 Pt 0.250 0.250 0.750
```

---

The highest E_tot belongs to which entry? AgSb5Pd3